(1)
DFT (meta-GGA SCAN) results for TeRu2Se at its PBEsol-relaxed geometry.

- E_form (uncorrected): 231 meV/atom
- Space-group type: No. 160
- Total magnetization: 0.00 μB/f.u.

```
TeRu2Se
1.0
1.549 0.894 9.306
-1.549 0.894 9.306
0.000 -1.789 9.306
Te Ru Se
1 2 1
Direct
0.000 0.000 0.000 Te
0.481 0.481 0.481 Ru
0.735 0.735 0.735 Ru
0.204 0.204 0.204 Se
```

(2)
DFT (meta-GGA SCAN) results for BaHfS2F at its PBEsol-relaxed geometry.

- E_form (uncorrected): -423 meV/atom
- Space-group type: No. 123
- Total magnetization: 0.87 μB/f.u.

```
BaHfS2F
1.0
5.193 0.000 0.000
0.000 5.193 0.000
0.000 0.000 4.395
Ba Hf S F
1 1 2 1
Direct
0.000 0.000 0.000 Ba
0.500 0.500 0.000 Hf
0.000 0.500 0.500 S
0.500 0.000 0.500 S
0.000 0.000 0.500 F
```

(3)
DFT (meta-GGA SCAN) results for Fe3WAu at its PBEsol-relaxed geometry.

- Energy relative to the elements: 158.3 kJ/mol of atoms
- Space-group type: No. 221
- Total magnetization: 5.31 μB/f.u.

```
Fe3WAu
1.0
4.383 0.000 0.000
0.000 4.383 0.000
0.000 0.000 4.383
Fe W Au
3 1 1
Direct
0.000 0.000 0.500 Fe
0.000 0.500 0.000 Fe
0.500 0.000 0.000 Fe
0.000 0.000 0.000 W
0.500 0.500 0.500 Au
```

(4)
DFT (meta-GGA SCAN) results for CaHg2Rh at its PBEsol-relaxed geometry.

- Energy relative to the elements: -23.6 kJ/mol of atoms
- Space-group type: No. 38
- Total magnetization: 0.00 μB/f.u.

```
CaHg2Rh
1.0
4.264 0.000 0.000
0.000 1.771 5.574
0.000 -1.771 5.574
Ca Hg Rh
1 2 1
Direct
0.000 0.000 0.000 Ca
0.000 0.271 0.271 Hg
0.500 0.666 0.666 Hg
0.500 0.419 0.419 Rh
```

(5)
DFT (meta-GGA SCAN) results for BaRuSCl2 at its PBEsol-relaxed geometry.

- E_form (uncorrected): 66 meV/atom
- Space-group type: No. 123
- Total magnetization: 4.02 μB/f.u.

```
BaRuSCl2
1.0
5.691 0.000 0.000
0.000 5.691 0.000
0.000 0.000 5.865
Ba Ru S Cl
1 1 1 2
Direct
0.000 0.000 0.000 Ba
0.500 0.500 0.500 Ru
0.000 0.000 0.500 S
0.000 0.500 0.000 Cl
0.500 0.000 0.000 Cl
```

(6)
DFT (meta-GGA SCAN) results for ZrW2Cl at its PBEsol-relaxed geometry.

- E_form (uncorrected): 12 meV/atom
- Space-group type: No. 99
- Total magnetization: 0.00 μB/f.u.

```
ZrW2Cl
1.0
3.136 0.000 0.000
0.000 3.136 0.000
0.000 0.000 7.693
Zr W Cl
1 2 1
Direct
0.000 0.000 0.000 Zr
0.000 0.000 0.584 W
0.500 0.500 0.758 W
0.500 0.500 0.236 Cl
```

(7)
DFT (meta-GGA SCAN) results for HgPtAu2 at its PBEsol-relaxed geometry.

- Energy relative to the elements: 6.4 kJ/mol of atoms
- Space-group type: No. 10
- Total magnetization: 0.00 μB/f.u.

```
HgPtAu2
1.0
4.899 0.000 0.000
0.000 2.940 0.000
-1.632 0.000 4.751
Hg Pt Au
1 1 2
Direct
0.000 0.000 0.000 Hg
0.500 0.500 0.000 Pt
0.000 0.500 0.500 Au
0.500 0.000 0.500 Au
```

(8)
DFT (meta-GGA SCAN) results for Tm11Ge10 at its PBEsol-relaxed geometry.

- Energy relative to the elements: -87.8 kJ/mol of atoms
- Space-group type: No. 139
- Total magnetization: 0.00 μB/f.u.

```
Tm11Ge10
1.0
-5.319 5.319 7.942
5.319 -5.319 7.942
5.319 5.319 -7.942
Tm Ge
22 20
Direct
0.059 0.310 0.748 Tm
0.102 0.428 0.326 Tm
0.102 0.777 0.674 Tm
0.161 0.161 0.000 Tm
0.223 0.898 0.326 Tm
0.310 0.059 0.748 Tm
0.310 0.562 0.252 Tm
0.323 0.323 0.647 Tm
0.323 0.677 0.000 Tm
0.428 0.102 0.326 Tm
0.438 0.690 0.748 Tm
0.562 0.310 0.252 Tm
0.572 0.898 0.674 Tm
0.677 0.323 0.000 Tm
0.677 0.677 0.353 Tm
0.690 0.438 0.748 Tm
0.690 0.941 0.252 Tm
0.777 0.102 0.674 Tm
0.839 0.839 0.000 Tm
0.898 0.223 0.326 Tm
0.898 0.572 0.674 Tm
0.941 0.690 0.252 Tm
0.029 0.029 0.418 Ge
0.029 0.611 0.000 Ge
0.122 0.122 0.243 Ge
0.122 0.878 0.000 Ge
0.141 0.500 0.641 Ge
0.250 0.750 0.500 Ge
0.388 0.388 0.000 Ge
0.389 0.389 0.418 Ge
0.389 0.971 0.000 Ge
0.500 0.141 0.641 Ge
0.500 0.859 0.359 Ge
0.611 0.029 0.000 Ge
0.611 0.611 0.582 Ge
0.612 0.612 0.000 Ge
0.750 0.250 0.500 Ge
0.859 0.500 0.359 Ge
0.878 0.122 0.000 Ge
0.878 0.878 0.757 Ge
0.971 0.389 0.000 Ge
0.971 0.971 0.582 Ge
```